No. 1
## TlReBr (GGA-PBEsol)

Data for an optimized crystal structure of TlReBr.

Properties
Calculated density in kg/m³: 11938
Relative energy among the computed polymorphs in eV per atom: 0.1385
Formation energy from raw total energies in eV/atom: 0.9129
Calculated total energy in eV per atom: -5.03
Total moment in μB per atom: 0.000

Cell and atoms, written as POSCAR:
```
TlReBr
1.0
-1.537 1.537 6.921
1.537 -1.537 6.921
1.537 1.537 -6.921
Tl Re Br
1 1 1
Direct
0.000 0.000 0.000 Tl
0.332 0.332 0.000 Re
0.738 0.738 0.000 Br
```


No. 2
## MoRu3 (GGA-PBEsol)

Data for an optimized crystal structure of MoRu3.

Properties
Calculated density in kg/m³: 11745
Relative energy among the computed polymorphs in eV per atom: 0.5192
Formation energy in eV per formula unit: 1.9
Calculated total energy in eV per atom: -10.11
Total moment in μB per atom: 0.304

Cell and atoms, written as POSCAR:
```
MoRu3
1.0
0.000 3.044 3.044
3.044 0.000 3.044
3.044 3.044 0.000
Mo Ru
1 3
Direct
0.000 0.000 0.000 Mo
0.250 0.250 0.250 Ru
0.500 0.500 0.500 Ru
0.750 0.750 0.750 Ru
```


No. 3
## ReHg2As (GGA-PBEsol)

Data for an optimized crystal structure of ReHg2As.

Properties
Calculated density in kg/m³: 15210
Formation energy in eV per formula unit: 3.7
Calculated total energy in eV per atom: -3.97
Total moment in μB per atom: 0.000

Cell and atoms, written as POSCAR:
```
ReHg2As
1.0
0.000 3.307 3.307
3.307 0.000 3.307
3.307 3.307 0.000
Re Hg As
1 2 1
Direct
0.000 0.000 0.000 Re
0.500 0.500 0.500 Hg
0.750 0.750 0.750 Hg
0.250 0.250 0.250 As
```


No. 4
## Na2Nd2Ti3O10 (GGA-PBEsol)

Data for an optimized crystal structure of Na2Nd2Ti3O10.

Properties
Calculated density in kg/m³: 5141
Formation energy from raw total energies in eV/atom: -2.9962
Calculated total energy in eV per atom: -8.33
Total moment in μB per atom: 0.000

Cell and atoms, written as POSCAR:
```
Na2Nd2Ti3O10
1.0
-1.905 1.905 14.198
1.905 -1.905 14.198
1.905 1.905 -14.198
Na Nd Ti O
2 2 3 10
Direct
0.212 0.212 0.000 Na
0.788 0.788 0.000 Na
0.075 0.075 0.000 Nd
0.925 0.925 0.000 Nd
0.354 0.354 0.000 Ti
0.500 0.500 0.000 Ti
0.646 0.646 0.000 Ti
0.000 0.500 0.500 O
0.131 0.631 0.500 O
0.292 0.292 0.000 O
0.369 0.869 0.500 O
0.433 0.433 0.000 O
0.500 0.000 0.500 O
0.567 0.567 0.000 O
0.631 0.131 0.500 O
0.708 0.708 0.000 O
0.869 0.369 0.500 O
```


No. 5
## Ag2HgPt (GGA-PBEsol)

Data for an optimized crystal structure of Ag2HgPt.

Properties
Calculated density in kg/m³: 14992
Formation energy in eV per formula unit: 0.0
Calculated total energy in eV per atom: -3.53
Total moment in μB per atom: 0.000

Cell and atoms, written as POSCAR:
```
Ag2HgPt
1.0
2.908 0.000 0.000
0.000 2.908 0.000
0.000 0.000 8.010
Ag Hg Pt
2 1 1
Direct
0.000 0.000 0.000 Ag
0.500 0.500 0.246 Ag
0.000 0.000 0.512 Hg
0.500 0.500 0.762 Pt
```


No. 6
## Ho3Si6Pd20 (GGA-PBEsol)

Data for an optimized crystal structure of Ho3Si6Pd20.

Properties
Calculated density in kg/m³: 10429
Formation energy from raw total energies in eV/atom: -0.8619
Calculated total energy in eV per atom: -6.67
Total moment in μB per atom: 0.000

Cell and atoms, written as POSCAR:
```
Ho3Si6Pd20
1.0
0.000 6.057 6.057
6.057 0.000 6.057
6.057 6.057 0.000
Ho Si Pd
3 6 20
Direct
0.000 0.000 0.000 Ho
0.250 0.250 0.250 Ho
0.750 0.750 0.750 Ho
0.268 0.268 0.732 Si
0.268 0.732 0.268 Si
0.268 0.732 0.732 Si
0.732 0.268 0.268 Si
0.732 0.268 0.732 Si
0.732 0.732 0.268 Si
0.000 0.000 0.346 Pd
0.000 0.000 0.654 Pd
0.000 0.346 0.000 Pd
0.000 0.346 0.654 Pd
0.000 0.654 0.000 Pd
0.000 0.654 0.346 Pd
0.149 0.617 0.617 Pd
0.346 0.000 0.000 Pd
0.346 0.000 0.654 Pd
0.346 0.654 0.000 Pd
0.383 0.383 0.383 Pd
0.383 0.383 0.851 Pd
0.383 0.851 0.383 Pd
0.617 0.149 0.617 Pd
0.617 0.617 0.149 Pd
0.617 0.617 0.617 Pd
0.654 0.000 0.000 Pd
0.654 0.000 0.346 Pd
0.654 0.346 0.000 Pd
0.851 0.383 0.383 Pd
```


No. 7
## ZnSnMo2As (GGA-PBEsol)

Data for an optimized crystal structure of ZnSnMo2As.

Properties
Calculated density in kg/m³: 5761
Formation energy in eV per formula unit: 10.5
Calculated total energy in eV per atom: -4.80
Total moment in μB per atom: 1.032

Cell and atoms, written as POSCAR:
```
ZnSnMo2As
1.0
5.083 0.000 0.000
0.000 5.083 0.000
0.000 0.000 5.030
Zn Sn Mo As
1 1 2 1
Direct
0.000 0.000 0.000 Zn
0.500 0.500 0.500 Sn
0.000 0.500 0.500 Mo
0.500 0.000 0.500 Mo
0.500 0.500 0.000 As
```


No. 8
## RbHSeO4 (GGA-PBEsol)

Data for an optimized crystal structure of RbHSeO4.

Properties
Calculated density in kg/m³: 3410
Calculated total energy in eV per atom: -5.29
Total moment in μB per atom: 0.000

Cell and atoms, written as POSCAR:
```
RbHSeO4
1.0
4.574 0.000 0.000
0.048 7.589 0.000
2.166 3.767 9.655
Rb H Se O
3 3 3 12
Direct
0.000 0.000 0.000 Rb
0.145 0.331 0.341 Rb
0.574 0.758 0.671 Rb
0.099 0.372 0.675 H
0.415 0.385 0.988 H
0.731 0.703 0.354 H
0.274 0.842 0.336 Se
0.579 0.247 0.669 Se
0.870 0.507 0.005 Se
0.036 0.731 0.283 O
0.040 0.698 0.879 O
0.102 0.909 0.462 O
0.110 0.343 0.059 O
0.281 0.356 0.731 O
0.477 0.012 0.204 O
0.503 0.669 0.411 O
0.512 0.191 0.541 O
0.625 0.063 0.801 O
0.643 0.408 0.931 O
0.666 0.546 0.138 O
0.869 0.411 0.609 O
```


No. 9
## SbHRuI2 (GGA-PBEsol)

Data for an optimized crystal structure of SbHRuI2.

Properties
Calculated density in kg/m³: 5333
Calculated total energy in eV per atom: -3.50
Total moment in μB per atom: 0.319

Cell and atoms, written as POSCAR:
```
SbHRuI2
1.0
5.504 0.000 0.000
0.000 5.504 0.000
0.000 0.000 4.910
Sb H Ru I
1 1 1 2
Direct
0.000 0.000 0.000 Sb
0.500 0.500 0.000 H
0.000 0.000 0.500 Ru
0.000 0.500 0.500 I
0.500 0.000 0.500 I
```


No. 10
## CsZn2SnBr (GGA-PBEsol)

Data for an optimized crystal structure of CsZn2SnBr.

Properties
Calculated density in kg/m³: 4263
Formation energy from raw total energies in eV/atom: 0.4489
Calculated total energy in eV per atom: -1.60
Total moment in μB per atom: 0.002

Cell and atoms, written as POSCAR:
```
CsZn2SnBr
1.0
5.383 0.000 0.000
0.000 5.383 0.000
0.000 0.000 6.215
Cs Zn Sn Br
1 2 1 1
Direct
0.000 0.000 0.000 Cs
0.000 0.500 0.500 Zn
0.500 0.000 0.500 Zn
0.500 0.500 0.000 Sn
0.000 0.000 0.500 Br
```


No. 11
## RbTcBiS2 (GGA-PBEsol)

Data for an optimized crystal structure of RbTcBiS2.

Properties
Calculated density in kg/m³: 4854
Formation energy from raw total energies in eV/atom: 0.7085
Calculated total energy in eV per atom: -4.36
Total moment in μB per atom: 0.824

Cell and atoms, written as POSCAR:
```
RbTcBiS2
1.0
5.460 0.000 0.000
0.000 5.460 0.000
0.000 0.000 5.240
Rb Tc Bi S
1 1 1 2
Direct
0.000 0.000 0.000 Rb
0.500 0.500 0.000 Tc
0.500 0.500 0.500 Bi
0.000 0.500 0.500 S
0.500 0.000 0.500 S
```


No. 12
## BeWCl2 (GGA-PBEsol)

Data for an optimized crystal structure of BeWCl2.

Properties
Calculated density in kg/m³: 5803
Relative energy among the computed polymorphs in eV per atom: 0.2080
Formation energy from raw total energies in eV/atom: 0.0440
Calculated total energy in eV per atom: -5.41
Total moment in μB per atom: 0.000

Cell and atoms, written as POSCAR:
```
BeWCl2
1.0
-1.560 1.739 6.956
1.560 -1.739 6.956
1.560 1.739 -6.956
Be W Cl
1 1 2
Direct
0.000 0.000 0.000 Be
0.500 0.500 0.000 W
0.362 0.862 0.500 Cl
0.638 0.138 0.500 Cl
```


No. 13
## ZrOs (GGA-PBEsol)

Data for an optimized crystal structure of ZrOs.

Properties
Calculated density in kg/m³: 13655
Formation energy in eV per formula unit: -0.5
Calculated total energy in eV per atom: -10.90
Total moment in μB per atom: 0.000

Cell and atoms, written as POSCAR:
```
ZrOs
1.0
-1.625 2.241 4.697
1.625 -2.241 4.697
1.625 2.241 -4.697
Zr Os
2 2
Direct
0.370 0.120 0.250 Zr
0.630 0.880 0.750 Zr
0.125 0.375 0.750 Os
0.875 0.625 0.250 Os
```


No. 14
## In4Cu (GGA-PBEsol)

Data for an optimized crystal structure of In4Cu.

Properties
Calculated density in kg/m³: 7342
Relative energy among the computed polymorphs in eV per atom: 0.0000
Formation energy in eV per formula unit: 0.4
Calculated total energy in eV per atom: -3.17
Total moment in μB per atom: 0.000

Cell and atoms, written as POSCAR:
```
In4Cu
1.0
-3.092 3.092 3.092
3.092 -3.092 3.092
3.092 3.092 -3.092
In Cu
4 1
Direct
0.000 0.000 0.500 In
0.000 0.500 0.000 In
0.500 0.000 0.000 In
0.500 0.500 0.500 In
0.000 0.000 0.000 Cu
```


No. 15
## Hf2Co4P3 (GGA-PBEsol)

Data for an optimized crystal structure of Hf2Co4P3.

Properties
Calculated density in kg/m³: 10317
Formation energy in eV per formula unit: -9.9
Calculated total energy in eV per atom: -8.81
Total moment in μB per atom: 0.040

Cell and atoms, written as POSCAR:
```
Hf2Co4P3
1.0
11.906 0.000 0.000
-5.953 10.311 0.000
0.000 0.000 3.596
Hf Co P
8 16 12
Direct
0.000 0.176 0.000 Hf
0.000 0.556 0.500 Hf
0.176 0.000 0.000 Hf
0.333 0.667 0.500 Hf
0.444 0.444 0.500 Hf
0.556 0.000 0.500 Hf
0.667 0.333 0.500 Hf
0.824 0.824 0.000 Hf
0.000 0.000 0.500 Co
0.000 0.721 0.000 Co
0.126 0.481 0.000 Co
0.179 0.806 0.500 Co
0.194 0.372 0.500 Co
0.279 0.279 0.000 Co
0.355 0.874 0.000 Co
0.372 0.194 0.500 Co
0.481 0.126 0.000 Co
0.519 0.645 0.000 Co
0.628 0.821 0.500 Co
0.645 0.519 0.000 Co
0.721 0.000 0.000 Co
0.806 0.179 0.500 Co
0.821 0.628 0.500 Co
0.874 0.355 0.000 Co
0.000 0.345 0.500 P
0.000 0.825 0.500 P
0.174 0.691 0.000 P
0.175 0.175 0.500 P
0.309 0.483 0.000 P
0.345 0.000 0.500 P
0.483 0.309 0.000 P
0.517 0.826 0.000 P
0.655 0.655 0.500 P
0.691 0.174 0.000 P
0.825 0.000 0.500 P
0.826 0.517 0.000 P
```


No. 16
## GaBi3H (GGA-PBEsol)

Data for an optimized crystal structure of GaBi3H.

Properties
Calculated density in kg/m³: 9977
Calculated total energy in eV per atom: -3.61
Total moment in μB per atom: 0.000

Cell and atoms, written as POSCAR:
```
GaBi3H
1.0
4.879 0.000 0.000
0.000 4.879 0.000
0.000 0.000 4.879
Ga Bi H
1 3 1
Direct
0.000 0.000 0.000 Ga
0.000 0.500 0.500 Bi
0.500 0.000 0.500 Bi
0.500 0.500 0.000 Bi
0.500 0.500 0.500 H
```


No. 17
## MgCoMo2 (GGA-PBEsol)

Data for an optimized crystal structure of MgCoMo2.

Properties
Calculated density in kg/m³: 7861
Formation energy in eV per formula unit: 1.4
Calculated total energy in eV per atom: -7.90
Total moment in μB per atom: 0.238

Cell and atoms, written as POSCAR:
```
MgCoMo2
1.0
-1.543 2.259 4.167
1.543 -2.259 4.167
1.543 2.259 -4.167
Mg Co Mo
1 1 2
Direct
0.000 0.000 0.000 Mg
0.750 0.250 0.500 Co
0.281 0.781 0.500 Mo
0.517 0.517 0.000 Mo
```


No. 18
## MgTa2IrF (GGA-PBEsol)

Data for an optimized crystal structure of MgTa2IrF.

Properties
Calculated density in kg/m³: 10098
Formation energy from raw total energies in eV/atom: 1.9764
Calculated total energy in eV per atom: -5.74
Total moment in μB per atom: 0.000

Cell and atoms, written as POSCAR:
```
MgTa2IrF
1.0
4.770 0.000 0.000
0.000 4.770 0.000
0.000 0.000 4.317
Mg Ta Ir F
1 2 1 1
Direct
0.000 0.000 0.000 Mg
0.000 0.500 0.000 Ta
0.500 0.000 0.000 Ta
0.000 0.000 0.500 Ir
0.500 0.500 0.500 F
```


No. 19
## DyTlS2 (GGA-PBEsol)

Data for an optimized crystal structure of DyTlS2.

Properties
Calculated density in kg/m³: 7191
Formation energy from raw total energies in eV/atom: -1.4907
Calculated total energy in eV per atom: -5.58
Total moment in μB per atom: 0.000

Cell and atoms, written as POSCAR:
```
DyTlS2
1.0
1.975 1.140 7.365
-1.975 1.140 7.365
0.000 -2.281 7.365
Dy Tl S
1 1 2
Direct
0.000 0.000 0.000 Dy
0.500 0.500 0.500 Tl
0.266 0.266 0.266 S
0.734 0.734 0.734 S
```


No. 20
## CrTc2Ag (GGA-PBEsol)

Data for an optimized crystal structure of CrTc2Ag.

Properties
Calculated density in kg/m³: 10469
Relative energy among the computed polymorphs in eV per atom: 0.1657
Formation energy in eV per formula unit: 1.8
Calculated total energy in eV per atom: -8.57
Total moment in μB per atom: 0.001

Cell and atoms, written as POSCAR:
```
CrTc2Ag
1.0
-1.442 2.199 4.451
1.442 -2.199 4.451
1.442 2.199 -4.451
Cr Tc Ag
1 2 1
Direct
0.000 0.000 0.000 Cr
0.217 0.717 0.500 Tc
0.783 0.283 0.500 Tc
0.500 0.500 0.000 Ag
```


No. 21
## HRh3Se (GGA-PBEsol)

Data for an optimized crystal structure of HRh3Se.

Properties
Calculated density in kg/m³: 7166
Calculated total energy in eV per atom: -5.04
Total moment in μB per atom: 0.000

Cell and atoms, written as POSCAR:
```
HRh3Se
1.0
4.482 0.000 0.000
0.000 4.482 0.000
0.000 0.000 4.482
H Rh Se
1 3 1
Direct
0.000 0.000 0.000 H
0.000 0.500 0.500 Rh
0.500 0.000 0.500 Rh
0.500 0.500 0.000 Rh
0.500 0.500 0.500 Se
```


No. 22
## ScCo2Re (GGA-PBEsol)

Data for an optimized crystal structure of ScCo2Re.

Properties
Calculated density in kg/m³: 11034
Relative energy among the computed polymorphs in eV per atom: 0.2265
Formation energy in eV per formula unit: 0.5
Calculated total energy in eV per atom: -8.73
Total moment in μB per atom: 0.001

Cell and atoms, written as POSCAR:
```
ScCo2Re
1.0
-1.809 1.809 4.014
1.809 -1.809 4.014
1.809 1.809 -4.014
Sc Co Re
1 2 1
Direct
0.000 0.000 0.000 Sc
0.500 0.500 0.000 Co
0.750 0.250 0.500 Co
0.250 0.750 0.500 Re
```


No. 23
## In2SiAg2S6 (GGA-PBEsol)

Data for an optimized crystal structure of In2SiAg2S6.

Properties
Calculated density in kg/m³: 4573
Formation energy from raw total energies in eV/atom: -0.4977
Calculated total energy in eV per atom: -4.56
Total moment in μB per atom: 0.000

Cell and atoms, written as POSCAR:
```
In2SiAg2S6
1.0
6.049 -3.525 0.000
6.049 3.525 0.000
-4.064 0.000 11.337
In Si Ag S
4 2 4 12
Direct
0.065 0.935 0.500 In
0.080 0.283 0.802 In
0.283 0.080 0.302 In
0.935 0.065 0.000 In
0.168 0.698 0.742 Si
0.698 0.168 0.242 Si
0.152 0.575 0.155 Ag
0.565 0.756 0.995 Ag
0.575 0.152 0.655 Ag
0.756 0.565 0.495 Ag
0.125 0.593 0.556 S
0.289 0.815 0.112 S
0.360 0.876 0.790 S
0.367 0.408 0.822 S
0.408 0.367 0.322 S
0.417 0.929 0.487 S
0.593 0.125 0.056 S
0.815 0.289 0.612 S
0.854 0.863 0.796 S
0.863 0.854 0.296 S
0.876 0.360 0.290 S
0.929 0.417 0.987 S
```